Entry 1:
A relaxed CrGaFe2 crystal, computed with PBE.

## Properties
Energy (eV/atom): -7.32
Energy of formation (eV/atom): 0.0750
Density of states at the Fermi level (states/eV/cell): 3.0

Cell lengths 2.5362, 2.5362, 7.9780 Å; angles 90.00, 90.00, 107.33 degrees
Closest atoms and distances in Å follow each position.
Fractional coordinates of all 4 atoms:
Fe: 0.5000 0.5000 0.2502  2 Cr 2.45, 6 Fe 2.46-2.54
Fe: 0.0000 0.0000 0.4940  6 Fe 2.46-2.54, 2 Ga 2.52
Cr: 0.0000 0.0000 0.0082  2 Fe 2.45, 4 Cr 2.54, 2 Ga 2.57
Ga: 0.5000 0.5000 0.7475  2 Fe 2.52, 4 Ga 2.54, 2 Cr 2.57

***

Entry 2:
A relaxed Cr2GaFe2 crystal, computed with PBE.

## Properties
Energy (eV/atom): -7.70
Energy of formation (eV/atom): 0.1421
Energy relative to the lowest polymorph listed for this composition (kJ/mol of formula units): 0
Density of states at the Fermi level (states/eV/cell): 7.5

Cell lengths 6.7666, 6.7666, 2.6145 Å; angles 90.00, 90.00, 90.00 degrees
Closest atoms and distances in Å follow each position.
Fractional coordinates of all 10 atoms:
Cr: 0.8366 0.3366 0.5000  6 Fe 2.38, 2 Cr 2.61
Cr: 0.6634 0.8366 0.5000  6 Fe 2.38, 2 Cr 2.61
Cr: 0.1634 0.6634 0.5000  6 Fe 2.38, 2 Cr 2.61
Cr: 0.3366 0.1634 0.5000  6 Fe 2.38, 2 Cr 2.61
Ga: 0.0000 0.0000 0.0000  2 Ga 2.61, 4 Fe 2.66, 8 Cr 2.85
Ga: 0.5000 0.5000 0.0000  2 Ga 2.61, 4 Fe 2.66, 8 Cr 2.85
Fe: 0.1282 0.3718 0.0000  6 Cr 2.38, 3 Fe 2.45-2.61, 2 Ga 2.66
Fe: 0.8718 0.6282 0.0000  6 Cr 2.38, 3 Fe 2.45-2.61, 2 Ga 2.66
Fe: 0.6282 0.1282 0.0000  6 Cr 2.38, 3 Fe 2.45-2.61, 2 Ga 2.66
Fe: 0.3718 0.8718 0.0000  6 Cr 2.38, 3 Fe 2.45-2.61, 2 Ga 2.66

***

Entry 3:
A relaxed CrGaFe2 crystal, computed with PBE.

## Properties
Energy (eV/atom): -7.41
Energy of formation (eV/atom): -0.0139
Density of states at the Fermi level (states/eV/cell): 3.6

Cell lengths 2.8365, 2.8365, 5.7148 Å; angles 90.00, 90.00, 90.00 degrees
Closest atoms and distances in Å follow each position.
Fractional coordinates of all 4 atoms:
Fe: 0.0000 0.0000 0.7605  4 Cr 2.43, 4 Ga 2.50
Fe: 0.0000 0.0000 0.2395  4 Cr 2.43, 4 Ga 2.50
Cr: 0.5000 0.5000 0.0000  8 Fe 2.43
Ga: 0.5000 0.5000 0.5000  8 Fe 2.50

***

Entry 4:
A relaxed Cr2Ga2Fe crystal, computed with PBE.

## Properties
Energy (eV/atom): -6.52
Energy of formation (eV/atom): 0.2333
Density of states at the Fermi level (states/eV/cell): 12.1

Cell lengths 6.4307, 6.4307, 3.2630 Å; angles 90.00, 90.00, 90.00 degrees
Closest atoms and distances in Å follow each position.
Fractional coordinates of all 10 atoms:
Cr: 0.3335 0.1665 0.5000  6 Ga 2.42-2.55
Cr: 0.1665 0.6665 0.5000  6 Ga 2.42-2.55
Cr: 0.8335 0.3335 0.5000  6 Ga 2.42-2.55
Cr: 0.6665 0.8335 0.5000  6 Ga 2.42-2.55
Fe: 0.5000 0.5000 0.0000  4 Ga 2.50
Fe: 0.0000 0.0000 0.0000  4 Ga 2.50
Ga: 0.1365 0.3635 0.0000  6 Cr 2.42-2.55, 1 Ga 2.48, 2 Fe 2.50
Ga: 0.6365 0.1365 0.0000  6 Cr 2.42-2.55, 1 Ga 2.48, 2 Fe 2.50
Ga: 0.3635 0.8635 0.0000  6 Cr 2.42-2.55, 1 Ga 2.48, 2 Fe 2.50
Ga: 0.8635 0.6365 0.0000  6 Cr 2.42-2.55, 1 Ga 2.48, 2 Fe 2.50

***

Entry 5:
A relaxed CrGa2Fe8 crystal, computed with PBE.

## Properties
Energy (eV/atom): -7.42
Energy of formation (eV/atom): 0.1638
Density of states at the Fermi level (states/eV/cell): 7.3

Cell lengths 3.8782, 6.1440, 6.1428 Å; angles 106.60, 90.00, 90.00 degrees
Closest atoms and distances in Å follow each position.
Fractional coordinates of all 11 atoms:
Fe: 0.0000 0.0354 0.3046  2 Ga 2.42-2.67, 7 Fe 2.49-2.65, 2 Cr 2.66
Fe: 0.5000 0.7689 0.2314  1 Cr 2.28, 2 Ga 2.39, 4 Fe 2.49-2.50
Fe: 0.5000 0.3246 0.3246  1 Cr 2.38, 5 Fe 2.58-2.61, 4 Ga 2.64
Fe: 0.5000 0.2311 0.7686  1 Cr 2.28, 2 Ga 2.39, 4 Fe 2.49-2.50
Fe: 0.5000 0.6754 0.6754  1 Cr 2.38, 5 Fe 2.58-2.61, 4 Ga 2.64
Fe: 0.0000 0.9646 0.6954  2 Ga 2.42-2.67, 7 Fe 2.49-2.65, 2 Cr 2.66
Fe: 0.0000 0.6954 0.9647  2 Ga 2.42-2.67, 7 Fe 2.50-2.65, 2 Cr 2.66
Fe: 0.0000 0.3046 0.0353  2 Ga 2.42-2.67, 7 Fe 2.50-2.65, 2 Cr 2.66
Ga: 0.0000 0.6262 0.3737  10 Fe 2.39-2.67, 1 Ga 2.49
Ga: 0.0000 0.3738 0.6263  10 Fe 2.39-2.67, 1 Ga 2.49
Cr: 0.5000 0.0000 0.0000  4 Fe 2.28-2.38

***

Entry 6:
A relaxed Cr2GaFe crystal, computed with PBE.

## Properties
Energy (eV/atom): -7.16
Energy of formation (eV/atom): 0.5258
Density of states at the Fermi level (states/eV/cell): 12.2

Cell lengths 6.5722, 6.5722, 5.2431 Å; angles 51.19, 51.19, 90.00 degrees
Closest atoms and distances in Å follow each position.
Fractional coordinates of all 8 atoms:
Ga: 0.7500 0.2500 0.5000  2 Fe 2.43, 4 Cr 2.61
Ga: 0.0000 0.0000 0.0000  2 Fe 2.43, 4 Cr 2.61
Cr: 0.5799 0.1250 0.2500  2 Fe 2.21
Cr: 0.1701 0.6250 0.2500  2 Fe 2.21
Cr: 0.3750 0.4201 0.7500  2 Fe 2.21
Cr: 0.8750 0.8299 0.7500  2 Fe 2.21
Fe: 0.2500 0.7500 0.5000  4 Cr 2.21, 2 Ga 2.43
Fe: 0.5000 0.5000 0.0000  4 Cr 2.21, 2 Ga 2.43

***

Entry 7:
A relaxed CrGa3Fe crystal, computed with PBE.

## Properties
Energy (eV/atom): -4.68
Energy of formation (eV/atom): 0.7518
Energy relative to the lowest polymorph listed for this composition (kJ/mol of formula units): 0
Density of states at the Fermi level (states/eV/cell): 7.2

Cell lengths 4.4430, 4.4430, 4.4430 Å; angles 90.00, 90.00, 90.00 degrees
Closest atoms and distances in Å follow each position.
Fractional coordinates of all 5 atoms:
Fe: 0.0000 0.0000 0.0000  6 Ga 2.22
Cr: 0.5000 0.5000 0.5000  12 Ga 3.14
Ga: 0.0000 0.5000 0.0000  2 Fe 2.22
Ga: 0.5000 0.0000 0.0000  2 Fe 2.22
Ga: 0.0000 0.0000 0.5000  2 Fe 2.22

***

Entry 8:
A relaxed CrGaFe2 crystal, computed with PBE.

## Properties
Energy (eV/atom): -7.30
Energy of formation (eV/atom): 0.0935
Density of states at the Fermi level (states/eV/cell): 3.5

Cell lengths 2.6280, 2.6280, 8.2411 Å; angles 80.83, 80.83, 60.00 degrees
Closest atoms and distances in Å follow each position.
Fractional coordinates of all 4 atoms:
Fe: 0.2524 0.2524 0.2428  3 Cr 2.49, 3 Ga 2.58, 6 Fe 2.63
Fe: 0.0810 0.0810 0.7569  3 Cr 2.48, 3 Ga 2.57, 6 Fe 2.63
Cr: 0.6667 0.6667 0.9998  6 Fe 2.48-2.49, 6 Cr 2.63
Ga: 0.4999 0.4999 0.5004  6 Fe 2.57-2.58, 6 Ga 2.63

***

Entry 9:
A relaxed CrGaFe2 crystal, computed with PBE.

## Properties
Energy (eV/atom): -6.91
Energy of formation (eV/atom): 0.4846
Density of states at the Fermi level (states/eV/cell): 8.9

Cell lengths 6.5228, 6.5228, 5.2567 Å; angles 51.65, 51.65, 90.00 degrees
Closest atoms and distances in Å follow each position.
Fractional coordinates of all 8 atoms:
Ga: 0.0000 0.0000 0.0000  2 Cr 2.52, 4 Fe 2.53
Ga: 0.7500 0.2500 0.5000  2 Cr 2.52, 4 Fe 2.53
Fe: 0.3750 0.4059 0.7500  2 Cr 2.26
Fe: 0.8750 0.8441 0.7500  2 Cr 2.26
Fe: 0.1559 0.6250 0.2500  2 Cr 2.26
Fe: 0.5941 0.1250 0.2500  2 Cr 2.26
Cr: 0.5000 0.5000 0.0000  4 Fe 2.26, 2 Ga 2.52
Cr: 0.2500 0.7500 0.5000  4 Fe 2.26, 2 Ga 2.52

***

Entry 10:
A relaxed Cr2GaFe2 crystal, computed with PBE.

## Properties
Energy (eV/atom): -7.58
Energy of formation (eV/atom): 0.2555
Energy relative to the lowest polymorph listed for this composition (kJ/mol of formula units): 55
Density of states at the Fermi level (states/eV/cell): 10.1

Cell lengths 6.8969, 6.8969, 2.5737 Å; angles 90.00, 90.00, 90.00 degrees
Closest atoms and distances in Å follow each position.
Fractional coordinates of all 10 atoms:
Fe: 0.8288 0.3288 0.5000  6 Cr 2.41-2.42, 2 Fe 2.57
Fe: 0.6712 0.8288 0.5000  6 Cr 2.41-2.42, 2 Fe 2.57
Fe: 0.1712 0.6712 0.5000  6 Cr 2.41-2.42, 2 Fe 2.57
Fe: 0.3288 0.1712 0.5000  6 Cr 2.41-2.42, 2 Fe 2.57
Ga: 0.5000 0.5000 0.0000  2 Ga 2.57, 4 Cr 2.75, 8 Fe 2.86
Ga: 0.0000 0.0000 0.0000  2 Ga 2.57, 4 Cr 2.75, 8 Fe 2.86
Cr: 0.8809 0.6191 0.0000  3 Cr 2.32-2.57, 6 Fe 2.41-2.42
Cr: 0.1191 0.3809 0.0000  3 Cr 2.32-2.57, 6 Fe 2.41-2.42
Cr: 0.3809 0.8809 0.0000  3 Cr 2.32-2.57, 6 Fe 2.41-2.42
Cr: 0.6191 0.1191 0.0000  3 Cr 2.32-2.57, 6 Fe 2.41-2.42

***

Entry 11:
A relaxed CrGaFe2H crystal, computed with PBE.

## Properties
Energy (eV/atom): -6.61
Density of states at the Fermi level (states/eV/cell): 4.6

Cell lengths 3.6593, 3.6593, 3.8101 Å; angles 90.00, 90.00, 90.00 degrees
Closest atoms and distances in Å follow each position.
Fractional coordinates of all 5 atoms:
Fe: 0.5000 0.0000 0.0000  2 H 1.83
Fe: 0.0000 0.5000 0.0000  2 H 1.83
H: 0.0000 0.0000 0.0000  4 Fe 1.83, 2 Cr 1.91
Ga: 0.5000 0.5000 0.5000  4 Cr 2.59, 8 Fe 2.64
Cr: 0.0000 0.0000 0.5000  2 H 1.91

***

Entry 12:
A relaxed CrGaFeHg2 crystal, computed with PBE.

## Properties
Energy (eV/atom): -3.66
Energy of formation (eV/atom): 0.6863
Density of states at the Fermi level (states/eV/cell): 3.4

Cell lengths 5.1147, 4.2817, 5.1147 Å; angles 90.00, 90.00, 90.00 degrees
Closest atoms and distances in Å follow each position.
Fractional coordinates of all 5 atoms:
Fe: 0.0000 0.0000 0.0000  2 Cr 2.14
Hg: 0.5000 0.0000 0.0000  2 Fe 2.56
Hg: 0.0000 0.0000 0.5000  2 Fe 2.56
Cr: 0.0000 0.5000 0.0000  2 Fe 2.14
Ga: 0.5000 0.5000 0.5000  8 Hg 3.34, 4 Cr 3.62

***

Entry 13:
A relaxed CrGaFe2N crystal, computed with PBE.

## Properties
Raw formation energy (meV per atom): -236
Energy (eV/atom): -7.82
Density of states at the Fermi level (states/eV/cell): 3.4

Cell lengths 3.8014, 3.8014, 3.8095 Å; angles 90.00, 90.00, 90.00 degrees
Closest atoms and distances in Å follow each position.
Fractional coordinates of all 5 atoms:
Fe: 0.5000 0.0000 0.0000  2 N 1.90
Fe: 0.0000 0.5000 0.0000  2 N 1.90
N: 0.0000 0.0000 0.0000  4 Fe 1.90, 2 Cr 1.90
Cr: 0.0000 0.0000 0.5000  2 N 1.90
Ga: 0.5000 0.5000 0.5000  4 Cr 2.69, 8 Fe 2.69